Entry 1:
# Pr2Mg2Ag

A relaxed structure of Pr2Mg2Ag (PBE-GGA, Alexandria via LeMat-Bulk).

Computed properties:
The value obtained for the formation energy is -0.133 eV/atom. The calculation puts the density of states at the Fermi level at 5.70 states/eV/f.u. The total energy is -3.253 eV/atom. The symmetry is C2/m. The total magnetization comes out at 0.00 μB per cell.

a b c (Å): 9.1499 5.2803 6.4419
angles (deg): 90.00 118.39 90.00
With the nearest neighbours (Å) after each atom.
Fractional positions:
Pr: 0.1015 0.0000 0.3046  3 Ag 3.24, 1 Pr 3.45, 6 Mg 3.45-3.56
Pr: 0.3985 0.5000 0.6954  3 Ag 3.24, 1 Pr 3.45, 6 Mg 3.45-3.56
Pr: 0.6015 0.5000 0.3046  3 Ag 3.24, 1 Pr 3.45, 6 Mg 3.45-3.56
Pr: 0.8985 0.0000 0.6954  3 Ag 3.24, 1 Pr 3.45, 6 Mg 3.45-3.56
Mg: 0.1725 0.5000 0.0180  1 Ag 2.94, 3 Mg 3.05-3.06
Mg: 0.3275 0.0000 0.9820  1 Ag 2.94, 3 Mg 3.05-3.06
Mg: 0.6725 0.0000 0.0180  1 Ag 2.94, 3 Mg 3.05-3.06
Mg: 0.8275 0.5000 0.9820  1 Ag 2.94, 3 Mg 3.05-3.06
Ag: 0.0000 0.5000 0.5000  2 Mg 2.94, 6 Pr 3.24
Ag: 0.5000 0.0000 0.5000  2 Mg 2.94, 6 Pr 3.24

Entry 2:
# PrMgAg2

A relaxed structure of PrMgAg2 (PBE-GGA, Alexandria via LeMat-Bulk).

Computed properties:
The value obtained for the formation energy is -0.221 eV/atom. The calculation puts the density of states at the Fermi level at 2.79 states/eV/f.u. The total energy is -3.240 eV/atom. The symmetry is P4/mmm. The total magnetization comes out at 0.00 μB per cell.

a b c (Å): 3.5061 3.5061 7.3865
angles (deg): 90.00 90.00 90.00
With the nearest neighbours (Å) after each atom.
Fractional positions:
Pr: 0.0000 0.0000 0.0000  8 Ag 3.28, 4 Pr 3.51
Mg: 0.0000 0.0000 0.5000  8 Ag 2.92
Ag: 0.5000 0.5000 0.2917  4 Mg 2.92, 1 Ag 3.08
Ag: 0.5000 0.5000 0.7083  4 Mg 2.92, 1 Ag 3.08

Entry 3:
# PrMg6Ag6

A relaxed structure of PrMg6Ag6 (PBE-GGA, Alexandria via LeMat-Bulk).

Computed properties:
The value obtained for the formation energy is -0.199 eV/atom. The calculation puts the density of states at the Fermi level at 7.02 states/eV/f.u. The total energy is -2.619 eV/atom. The symmetry is Immm. The total magnetization comes out at 0.00 μB per cell.

a b c (Å): 7.4622 7.4622 7.4622
angles (deg): 135.48 100.30 96.21
With the nearest neighbours (Å) after each atom.
Fractional positions:
Pr: 0.0000 0.0000 0.0000  8 Mg 3.28-3.46, 4 Ag 3.55
Mg: 0.1952 0.6952 0.5000  6 Ag 2.83-2.89
Mg: 0.3425 0.0000 0.3425  6 Ag 3.00-3.04, 1 Mg 3.01, 1 Pr 3.28
Mg: 0.3469 0.3469 0.0000  6 Ag 2.94-3.05, 3 Mg 3.05-3.21
Mg: 0.6531 0.6531 0.0000  6 Ag 2.94-3.05, 3 Mg 3.05-3.21
Mg: 0.6575 0.0000 0.6575  6 Ag 3.00-3.04, 1 Mg 3.01, 1 Pr 3.28
Mg: 0.8048 0.3048 0.5000  6 Ag 2.83-2.89
Ag: 0.0000 0.0000 0.5000  4 Ag 2.83-2.88, 6 Mg 2.83-3.00
Ag: 0.0000 0.5000 0.0000  4 Ag 2.83-2.88, 6 Mg 2.83-3.00
Ag: 0.2241 0.5000 0.7241  4 Ag 2.88, 6 Mg 2.89-3.05
Ag: 0.5000 0.0000 0.0000  4 Ag 2.83-2.88, 6 Mg 2.83-3.00
Ag: 0.5000 0.5000 0.5000  4 Ag 2.83-2.88, 6 Mg 2.83-3.00
Ag: 0.7759 0.5000 0.2759  4 Ag 2.88, 6 Mg 2.89-3.05

Entry 4:
# Pr6Mg3Ag

A relaxed structure of Pr6Mg3Ag (PBE-GGA, Alexandria via LeMat-Bulk).

Computed properties:
The value obtained for the formation energy is -0.023 eV/atom. The calculation puts the density of states at the Fermi level at 11.34 states/eV/f.u. The total energy is -3.654 eV/atom. The symmetry is P2_1/c. The total magnetization comes out at 0.00 μB per cell.

a b c (Å): 9.6450 6.6220 13.5579
angles (deg): 90.00 134.38 90.00
With the nearest neighbours (Å) after each atom.
Fractional positions:
Pr: 0.0958 0.2309 0.2437  1 Ag 3.27, 4 Mg 3.39-3.65, 2 Pr 3.63-3.64
Pr: 0.0958 0.2691 0.7437  1 Ag 3.27, 4 Mg 3.39-3.65, 2 Pr 3.63-3.64
Pr: 0.2344 0.1027 0.0623  1 Ag 3.17, 2 Mg 3.28-3.38, 1 Pr 3.51
Pr: 0.2344 0.3973 0.5623  1 Ag 3.17, 2 Mg 3.28-3.38, 1 Pr 3.51
Pr: 0.3835 0.5867 0.0631  1 Ag 3.21, 3 Mg 3.29-3.58, 1 Pr 3.51
Pr: 0.3835 0.9133 0.5631  1 Ag 3.21, 3 Mg 3.29-3.58, 1 Pr 3.51
Pr: 0.6165 0.0867 0.4369  1 Ag 3.21, 3 Mg 3.29-3.58, 1 Pr 3.51
Pr: 0.6165 0.4133 0.9369  1 Ag 3.21, 3 Mg 3.29-3.58, 1 Pr 3.51
Pr: 0.7656 0.6027 0.4377  1 Ag 3.17, 2 Mg 3.28-3.38, 1 Pr 3.51
Pr: 0.7656 0.8973 0.9377  1 Ag 3.17, 2 Mg 3.28-3.38, 1 Pr 3.51
Pr: 0.9042 0.7309 0.2563  1 Ag 3.27, 4 Mg 3.39-3.65, 2 Pr 3.63-3.64
Pr: 0.9042 0.7691 0.7563  1 Ag 3.27, 4 Mg 3.39-3.65, 2 Pr 3.63-3.64
Mg: 0.2485 0.7336 0.2409  1 Ag 2.80, 1 Mg 2.95
Mg: 0.2485 0.7664 0.7409  1 Ag 2.80, 1 Mg 2.95
Mg: 0.5000 0.0000 0.0000  2 Mg 2.95, 4 Pr 3.28-3.29
Mg: 0.5000 0.5000 0.5000  2 Mg 2.95, 4 Pr 3.28-3.29
Mg: 0.7515 0.2336 0.2591  1 Ag 2.80, 1 Mg 2.95
Mg: 0.7515 0.2664 0.7591  1 Ag 2.80, 1 Mg 2.95
Ag: 0.0000 0.0000 0.5000  2 Mg 2.80
Ag: 0.0000 0.5000 0.0000  2 Mg 2.80

Entry 5:
# PrMg3Ag

A relaxed structure of PrMg3Ag (PBE-GGA, Alexandria via LeMat-Bulk).

Computed properties:
The value obtained for the formation energy is -0.008 eV/atom. The calculation puts the density of states at the Fermi level at 2.04 states/eV/f.u. The total energy is -2.491 eV/atom. The symmetry is Pm-3m. The total magnetization comes out at 0.00 μB per cell.

a b c (Å): 5.0961 5.0961 5.0961
angles (deg): 90.00 90.00 90.00
With the nearest neighbours (Å) after each atom.
Fractional positions:
Pr: 0.0000 0.0000 0.0000  12 Mg 3.60
Mg: 0.0000 0.5000 0.5000  2 Ag 2.55
Mg: 0.5000 0.0000 0.5000  2 Ag 2.55
Mg: 0.5000 0.5000 0.0000  2 Ag 2.55
Ag: 0.5000 0.5000 0.5000  6 Mg 2.55

Entry 6:
# Pr3MgAg

A relaxed structure of Pr3MgAg (PBE-GGA, Alexandria via LeMat-Bulk).

Computed properties:
The value obtained for the formation energy is -0.105 eV/atom. The calculation puts the density of states at the Fermi level at 4.92 states/eV/f.u. The total energy is -3.862 eV/atom. The symmetry is Cmcm. The total magnetization comes out at 0.26 μB per cell.

a b c (Å): 10.7176 10.7176 5.3972
angles (deg): 90.00 90.00 150.85
With the nearest neighbours (Å) after each atom.
Fractional positions:
Pr: 0.0598 0.9402 0.7500  2 Mg 3.33, 2 Ag 3.40, 4 Pr 3.66-3.72
Pr: 0.2493 0.7507 0.7500  4 Ag 3.28-3.29, 4 Mg 3.34-3.36
Pr: 0.4362 0.5638 0.7500  2 Mg 3.28, 2 Ag 3.35
Pr: 0.5638 0.4362 0.2500  2 Mg 3.28, 2 Ag 3.35
Pr: 0.7507 0.2493 0.2500  4 Ag 3.28-3.29, 4 Mg 3.34-3.36
Pr: 0.9402 0.0598 0.2500  2 Mg 3.33, 2 Ag 3.40, 4 Pr 3.66-3.72
Mg: 0.1541 0.8459 0.2500  8 Pr 3.28-3.36
Mg: 0.8459 0.1541 0.7500  8 Pr 3.28-3.36
Ag: 0.3403 0.6597 0.2500  8 Pr 3.28-3.40
Ag: 0.6597 0.3403 0.7500  8 Pr 3.28-3.40

Entry 7:
# PrMg2Ag

A relaxed structure of PrMg2Ag (PBE-GGA, Alexandria via LeMat-Bulk).

Computed properties:
The value obtained for the formation energy is -0.088 eV/atom. The calculation puts the density of states at the Fermi level at 3.80 states/eV/f.u. The total energy is -2.793 eV/atom. The symmetry is P4/mmm. The total magnetization comes out at 0.00 μB per cell.

a b c (Å): 4.5036 4.5036 5.0167
angles (deg): 90.00 90.00 90.00
With the nearest neighbours (Å) after each atom.
Fractional positions:
Pr: 0.0000 0.0000 0.0000  4 Ag 3.18, 8 Mg 3.37
Mg: 0.0000 0.5000 0.5000  4 Mg 3.18, 4 Pr 3.37, 4 Ag 3.37
Mg: 0.5000 0.0000 0.5000  4 Mg 3.18, 4 Pr 3.37, 4 Ag 3.37
Ag: 0.5000 0.5000 0.0000  4 Pr 3.18, 8 Mg 3.37

Entry 8:
# Pr8Mg2Ag

A relaxed structure of Pr8Mg2Ag (PBE-GGA, Alexandria via LeMat-Bulk).

Computed properties:
The value obtained for the formation energy is -0.009 eV/atom. The calculation puts the density of states at the Fermi level at 11.74 states/eV/f.u. The total energy is -4.034 eV/atom. The symmetry is C2/m. The total magnetization comes out at 0.00 μB per cell.

a b c (Å): 9.7619 9.7619 7.1782
angles (deg): 103.75 103.75 32.78
With the nearest neighbours (Å) after each atom.
Fractional positions:
Pr: 0.0209 0.0209 0.2654  1 Mg 3.27, 2 Ag 3.30, 3 Pr 3.60-3.64
Pr: 0.1951 0.1951 0.7767  3 Mg 3.21-3.49, 3 Pr 3.54-3.57
Pr: 0.3427 0.3427 0.5494  1 Ag 3.05, 3 Mg 3.22-3.34
Pr: 0.4064 0.4064 0.0496  1 Ag 3.27, 3 Pr 3.49-3.60, 2 Mg 3.59
Pr: 0.5936 0.5936 0.9504  1 Ag 3.27, 3 Pr 3.49-3.60, 2 Mg 3.59
Pr: 0.6573 0.6573 0.4506  1 Ag 3.05, 3 Mg 3.22-3.34
Pr: 0.8049 0.8049 0.2233  3 Mg 3.21-3.49, 3 Pr 3.54-3.57
Pr: 0.9791 0.9791 0.7346  1 Mg 3.27, 2 Ag 3.30, 3 Pr 3.60-3.64
Mg: 0.1904 0.1904 0.2212  9 Pr 3.21-3.59
Mg: 0.8096 0.8096 0.7788  9 Pr 3.21-3.59
Ag: 0.5000 0.5000 0.5000  8 Pr 3.05-3.30